A relaxed Dy3Tm2Th3 crystal. Source: the Alexandria database, functional PBE.

a = 5.002 Å, b = 5.006 Å, c = 10.056 Å
α = 90.00°, β = 90.00°, γ = 90.00°
Space group Pmmm (No. 47)
Symmetry-distinct sites (fractional):
Dy 0.000 0.000 0.000
Dy 0.000 0.000 0.500
Dy 0.500 0.500 0.000
Tm 0.500 0.000 0.251
Th 0.000 0.500 0.250
Th 0.500 0.500 0.500

Energy in eV per cell: -44.72
Total moment in μB per atom: 0.00